A plane-wave DFT calculation with GGA-PBE was carried out for a relaxed structure of CsNpCuF6.

The structure belongs to space group Imma (No. 74); the cell edges are 7.312, 8.859 and 12.545 Å and the angles 90.00°, 90.00° and 90.00°. The inequivalent atoms are Cs at (0.000, 0.250, 0.189), Np at (0.000, 0.000, 0.500), Cu at (0.250, 0.250, 0.750), F at (0.000, 0.250, 0.544), F at (0.000, 0.250, 0.784) and F at (0.201, 0.055, 0.384).

For the final energy, the calculation gives -6.012 eV per atom. For the density of states at the Fermi level, the calculation gives 1.1459 states/eV per atom. Its crystal system is orthorhombic.